# 1
The following is a PBE calculation of PrDyPa4 after structural relaxation, from Alexandria via LeMat-Bulk.

For the theoretical density, the calculation gives 12.22 g/cm3. The calculation puts the volume at 27.79 A^3/atom. The calculated formation energy comes out at 0.24 eV/atom.

abc: 8.738 8.738 8.738
angles: 90.00 90.00 90.00
Space group F-43m (No. 216)
Asymmetric unit:
Pr1 0.000 0.000 0.000 x4
Dy1 0.250 0.250 0.250 x4
Pa1 0.125 0.125 0.625 x16



# 2
The following is a PBE calculation of Pr2DyPa2Rh5 after structural relaxation, from Alexandria via LeMat-Bulk.

For the theoretical density, the calculation gives 10.74 g/cm3. The calculation puts the volume at 21.96 A^3/atom. The calculated formation energy comes out at -0.64 eV/atom.

abc: 11.034 11.034 3.607
angles: 90.00 90.00 90.00
Space group P4/mbm (No. 127)
Asymmetric unit:
Pr1 0.171 0.329 0.000 x4
Dy1 0.000 0.000 0.000 x2
Pa1 0.137 0.637 0.000 x4
Rh1 0.000 0.500 0.500 x2
Rh2 0.055 0.798 0.500 x8



# 3
The following is a PBE calculation of Pr2DyPa2Ru5 after structural relaxation, from Alexandria via LeMat-Bulk.

For the theoretical density, the calculation gives 10.87 g/cm3. The calculation puts the volume at 21.57 A^3/atom. The calculated formation energy comes out at -0.25 eV/atom.

abc: 10.800 10.800 3.698
angles: 90.00 90.00 90.00
Space group P4/mbm (No. 127)
Asymmetric unit:
Pr1 0.175 0.325 0.000 x4
Dy1 0.000 0.000 0.000 x2
Pa1 0.133 0.633 0.000 x4
Ru1 0.000 0.500 0.500 x2
Ru2 0.052 0.789 0.500 x8



# 4
The following is a PBE calculation of PrDy2PaSb4 after structural relaxation, from Alexandria via LeMat-Bulk.

For the theoretical density, the calculation gives 8.04 g/cm3. Its formation energy without anion corrections is -969 meV per atom. The calculation puts the volume at 30.56 A^3/atom.

abc: 7.638 4.418 7.678
angles: 90.00 109.34 90.00
Space group P2/m (No. 10)
Asymmetric unit:
Pr1 0.000 0.000 0.000 x1
Dy1 0.500 0.000 0.500 x1
Dy2 0.500 0.500 0.000 x1
Pa1 0.000 0.500 0.500 x1
Sb1 0.254 0.000 0.746 x2
Sb2 0.256 0.500 0.259 x2



# 5
The following is a PBE calculation of Pr2DyPaSb4 after structural relaxation, from Alexandria via LeMat-Bulk.

For the theoretical density, the calculation gives 7.67 g/cm3. Its formation energy without anion corrections is -992 meV per atom. The calculation puts the volume at 31.46 A^3/atom.

abc: 7.709 4.462 7.754
angles: 90.00 109.35 90.00
Space group P2/m (No. 10)
Asymmetric unit:
Pr1 0.000 0.000 0.000 x1
Pr2 0.500 0.500 0.000 x1
Dy1 0.000 0.500 0.500 x1
Pa1 0.500 0.000 0.500 x1
Sb1 0.248 0.000 0.737 x2
Sb2 0.255 0.500 0.262 x2



# 6
The following is a PBE calculation of DyPaPt2 after structural relaxation, from Alexandria via LeMat-Bulk.

For the theoretical density, the calculation gives 15.05 g/cm3. The calculation puts the volume at 21.62 A^3/atom. The calculated formation energy comes out at -0.94 eV/atom. The calculation puts the offset from the most stable computed form at 187 meV per atom.

abc: 7.019 7.019 7.019
angles: 90.00 90.00 90.00
Space group Fm-3m (No. 225)
Asymmetric unit:
Dy1 0.000 0.000 0.000 x4
Pa1 0.000 0.000 0.500 x4
Pt1 0.250 0.250 0.250 x8